Compound: LiAsAu2
Source: Alexandria via LeMat-Bulk
Functional: PBE
Structure: optimized geometry

Cell: 4.885 4.885 4.272 Å, 71.55 71.55 46.42°
Fractional coordinates of all 4 atoms:
1 As 0.259 0.259 0.217
2 Au 0.997 0.997 0.038
3 Au 0.750 0.750 0.720
4 Li 0.494 0.494 0.525

* size of the total moment: 0.000 μB/cell
* energy of formation: -0.231 eV/atom
* symmetry: Cm
* E: -3.510 eV/atom